VASP calculation (GGA-PBE) on a relaxed structure of Ce5P12Ru19.

Summary:
Formation energy from the elements (meV per atom): -885
Final energy (eV for the cell shown): -302.7
DOS(E_F) (states/eV per atom): 0.6269

Cell lengths 12.6238, 12.6238, 3.9801 Å; angles 90.00, 90.00, 120.00 degrees
Space group P-62m (No. 189)
Asymmetric unit:
Ce  0.0000  0.8136  0.0000
Ce  0.3333  0.6667  0.5000
P  0.0000  0.1855  0.5000
P  0.0000  0.6250  0.5000
P  0.1714  0.4761  0.0000
Ru  0.0000  0.0000  0.5000
Ru  0.0000  0.2832  0.0000
Ru  0.0000  0.4443  0.5000
Ru  0.1259  0.6327  0.0000
Ru  0.1844  0.3764  0.5000

---

VASP calculation (GGA-PBE) on a relaxed structure of Ce2P4Ru5.

Summary:
Formation energy from the elements (meV per atom): -795
Final energy (eV for the cell shown): -354.5
DOS(E_F) (states/eV per atom): 1.0409

Cell lengths 5.617, 9.823, 13.384 Å; angles 90.00, 90.00, 90.00 degrees
Space group Fmmm (No. 69)
Asymmetric unit:
Ce  0.000  0.000  0.129
P  0.000  0.155  0.368
Ru  0.000  0.000  0.500
Ru  0.250  0.250  0.000
Ru  0.250  0.250  0.250

---

VASP calculation (GGA-PBE) on a relaxed structure of CePRu2.

Summary:
Formation energy from the elements (meV per atom): -664
Final energy (eV for the cell shown): -65.1
DOS(E_F) (states/eV per atom): 1.0119

Cell lengths 3.916, 3.916, 9.350 Å; angles 90.00, 90.00, 90.00 degrees
Space group P4/nmm (No. 129, origin choice 2)
Asymmetric unit:
Ce  0.250  0.250  0.204
P  0.250  0.250  0.637
Ru  0.250  0.250  0.884
Ru  0.250  0.750  0.500

---

VASP calculation (GGA-PBE) on a relaxed structure of Ce2PRu.

Summary:
Formation energy from the elements (meV per atom): -671
Polymorph energy (0 for the lowest one) (meV per atom): 94
Final energy (eV for the cell shown): -87.7
DOS(E_F) (states/eV per atom): 1.3938

Cell lengths 3.8743, 3.8743, 21.3481 Å; angles 90.00, 90.00, 120.00 degrees
Space group R3m (No. 160, hexagonal axes)
Asymmetric unit:
Ce  0.0000  0.0000  0.0000
Ce  0.0000  0.0000  0.1664
P  0.0000  0.0000  0.5831
Ru  0.0000  0.0000  0.4132

---

VASP calculation (GGA-PBE) on a relaxed structure of Ce2P7Ru12.

Summary:
Formation energy from the elements (meV per atom): -779
Final energy (eV for the cell shown): -177.4
DOS(E_F) (states/eV per atom): 0.3156

Cell lengths 9.4767, 9.4767, 3.9389 Å; angles 90.00, 90.00, 120.00 degrees
Space group P-6 (No. 174)
Asymmetric unit:
Ce  0.0000  0.0000  0.0000
Ce  0.3333  0.6667  0.5000
P  0.0857  0.4434  0.0000
P  0.2691  0.2216  0.5000
P  0.6667  0.3333  0.0000
Ru  0.0557  0.2803  0.5000
Ru  0.0949  0.6928  0.0000
Ru  0.3953  0.1734  0.0000
Ru  0.5444  0.4230  0.5000

---

VASP calculation (GGA-PBE) on a relaxed structure of Ce6PRu3.

Summary:
Formation energy from the elements (meV per atom): -441
Final energy (eV for the cell shown): -146.5
DOS(E_F) (states/eV per atom): 2.1966

Cell lengths 11.293, 3.974, 11.683 Å; angles 90.00, 107.99, 90.00 degrees
Space group P2_1/m (No. 11)
Asymmetric unit:
Ce  0.032  0.250  0.388
Ce  0.110  0.250  0.941
Ce  0.240  0.750  0.266
Ce  0.296  0.750  0.753
Ce  0.381  0.250  0.533
Ce  0.418  0.750  0.102
P  0.454  0.250  0.305
Ru  0.054  0.250  0.166
Ru  0.184  0.750  0.502
Ru  0.342  0.250  0.913

---

VASP calculation (GGA-PBE) on a relaxed structure of CeP2Ru2.

Summary:
Formation energy from the elements (meV per atom): -898
Final energy (eV for the cell shown): -39.8
DOS(E_F) (states/eV per atom): 0.8997

Cell lengths 4.072, 4.072, 4.861 Å; angles 90.00, 90.00, 90.00 degrees
Space group P4/mmm (No. 123)
Asymmetric unit:
Ce  0.000  0.000  0.000
P  0.500  0.500  0.232
Ru  0.000  0.500  0.500

---

VASP calculation (GGA-PBE) on a relaxed structure of Ce2P4Ru3.

Summary:
Formation energy from the elements (meV per atom): -815
Final energy (eV for the cell shown): -274.7
DOS(E_F) (states/eV per atom): 0.9312

Cell lengths 5.552, 9.776, 11.550 Å; angles 90.00, 90.00, 90.00 degrees
Space group Fmmm (No. 69)
Asymmetric unit:
Ce  0.000  0.000  0.140
P  0.000  0.165  0.348
Ru  0.000  0.000  0.500
Ru  0.250  0.250  0.000

---

VASP calculation (GGA-PBE) on a relaxed structure of CeP3Ru5.

Summary:
Formation energy from the elements (meV per atom): -594
Final energy (eV for the cell shown): -295.5
DOS(E_F) (states/eV per atom): 0.9497

Cell lengths 3.890, 12.152, 12.041 Å; angles 90.00, 90.00, 90.00 degrees
Space group Cmcm (No. 63)
Asymmetric unit:
Ce  0.000  0.163  0.250
P  0.000  0.128  0.750
P  0.000  0.387  0.544
Ru  0.000  0.000  0.000
Ru  0.000  0.206  0.575
Ru  0.000  0.443  0.147

---

VASP calculation (GGA-PBE) on a relaxed structure of Ce2PRu.

Summary:
Formation energy from the elements (meV per atom): -765
Polymorph energy (0 for the lowest one) (meV per atom): 0
Final energy (eV for the cell shown): -236.9
DOS(E_F) (states/eV per atom): 1.4587

Cell lengths 8.091, 16.009, 6.893 Å; angles 90.00, 123.74, 90.00 degrees
Space group C2/c (No. 15)
Asymmetric unit:
Ce  0.236  0.062  0.242
Ce  0.248  0.188  0.746
P  0.000  0.319  0.750
P  0.000  0.442  0.250
Ru  0.000  0.074  0.750
Ru  0.000  0.198  0.250

---

VASP calculation (GGA-PBE) on a relaxed structure of CeSbP2Ru5.

Summary:
Final energy (eV for the cell shown): -70.2
DOS(E_F) (states/eV per atom): 1.1086
E_form (uncorrected) (meV per atom): -323

Cell lengths 4.091, 4.091, 9.892 Å; angles 90.00, 90.00, 90.00 degrees
Space group P4/mmm (No. 123)
Asymmetric unit:
Ce  0.000  0.000  0.000
Sb  0.000  0.000  0.500
P  0.500  0.500  0.230
Ru  0.000  0.500  0.333
Ru  0.500  0.500  0.000

---

VASP calculation (GGA-PBE) on a relaxed structure of CeTaP2Ru.

Summary:
Formation energy from the elements (meV per atom): -834
Final energy (eV for the cell shown): -84.1
DOS(E_F) (states/eV per atom): 1.1790

Cell lengths 3.875, 3.875, 12.020 Å; angles 90.00, 90.00, 90.00 degrees
Space group I-4m2 (No. 119)
Asymmetric unit:
Ce  0.000  0.000  0.000
Ta  0.000  0.500  0.250
P  0.000  0.000  0.381
Ru  0.000  0.500  0.750

---

VASP calculation (GGA-PBE) on a relaxed structure of CeTcP2Ru.

Summary:
Formation energy from the elements (meV per atom): -986
Final energy (eV for the cell shown): -82.7
DOS(E_F) (states/eV per atom): 0.8535

Cell lengths 4.133, 4.133, 9.724 Å; angles 90.00, 90.00, 90.00 degrees
Space group I-4m2 (No. 119)
Asymmetric unit:
Ce  0.000  0.000  0.000
Tc  0.000  0.500  0.250
P  0.000  0.000  0.368
Ru  0.000  0.500  0.750

---

VASP calculation (GGA-PBE) on a relaxed structure of CeTiP2Ru.

Summary:
Formation energy from the elements (meV per atom): -1062
Final energy (eV for the cell shown): -78.5
DOS(E_F) (states/eV per atom): 1.2199

Cell lengths 3.883, 3.883, 11.504 Å; angles 90.00, 90.00, 90.00 degrees
Space group I-4m2 (No. 119)
Asymmetric unit:
Ce  0.000  0.000  0.000
Ti  0.000  0.500  0.250
P  0.000  0.000  0.378
Ru  0.000  0.500  0.750

---

VASP calculation (GGA-PBE) on a relaxed structure of Ce5P4S.

Summary:
Polymorph energy (0 for the lowest one) (meV per atom): 0
Final energy (eV for the cell shown): -143.3
DOS(E_F) (states/eV per atom): 2.1093
E_form (uncorrected) (meV per atom): -1621

Cell lengths 4.082, 5.768, 20.397 Å; angles 90.00, 90.00, 90.00 degrees
Space group Immm (No. 71)
Asymmetric unit:
Ce  0.000  0.000  0.000
Ce  0.000  0.000  0.200
Ce  0.000  0.000  0.400
P  0.000  0.500  0.200
P  0.000  0.500  0.400
S  0.000  0.500  0.000

---

VASP calculation (GGA-PBE) on a relaxed structure of CePS4.

Summary:
Final energy (eV for the cell shown): -67.3
DOS(E_F) (states/eV per atom): 1.2166
E_form (uncorrected) (meV per atom): -963

Cell lengths 6.263, 6.398, 7.250 Å; angles 90.00, 90.00, 90.00 degrees
Space group I222 (No. 23)
Asymmetric unit:
Ce  0.000  0.000  0.000
P  0.000  0.000  0.500
S  0.186  0.181  0.331

---

VASP calculation (GGA-PBE) on a relaxed structure of Ce2PS5.

Summary:
Final energy (eV for the cell shown): -93.6
DOS(E_F) (states/eV per atom): 1.3154
E_form (uncorrected) (meV per atom): -1110

Cell lengths 7.963, 9.352, 6.009 Å; angles 90.00, 129.88, 90.00 degrees
Space group Cm (No. 8)
Asymmetric unit:
Ce  0.000  0.243  0.000
P  0.487  0.500  0.506
S  0.199  0.500  0.006
S  0.281  0.000  0.003
S  0.293  0.500  0.628
S  0.477  0.253  0.488

---

VASP calculation (GGA-PBE) on a relaxed structure of Ce3P2S.

Summary:
Final energy (eV for the cell shown): -85.9
DOS(E_F) (states/eV per atom): 2.2562
E_form (uncorrected) (meV per atom): -1702

Cell lengths 4.076, 5.757, 12.220 Å; angles 90.00, 90.00, 90.00 degrees
Space group Immm (No. 71)
Asymmetric unit:
Ce  0.000  0.000  0.000
Ce  0.000  0.000  0.332
P  0.000  0.500  0.334
S  0.000  0.500  0.000

---

VASP calculation (GGA-PBE) on a relaxed structure of Ce2PS.

Summary:
Polymorph energy (0 for the lowest one) (meV per atom): 143
Final energy (eV for the cell shown): -84.1
DOS(E_F) (states/eV per atom): 2.5826
E_form (uncorrected) (meV per atom): -1653

Cell lengths 3.9742, 3.9742, 21.2887 Å; angles 90.00, 90.00, 120.00 degrees
Space group R3m (No. 160, hexagonal axes)
Asymmetric unit:
Ce  0.0000  0.0000  0.0000
Ce  0.0000  0.0000  0.1766
P  0.0000  0.0000  0.5872
S  0.0000  0.0000  0.7570

---

VASP calculation (GGA-PBE) on a relaxed structure of CeP2S6.

Summary:
Final energy (eV for the cell shown): -186.2
DOS(E_F) (states/eV per atom): 0.6027
E_form (uncorrected) (meV per atom): -560

Cell lengths 12.833, 10.021, 7.589 Å; angles 90.00, 118.93, 90.00 degrees
Space group C2/c (No. 15)
Asymmetric unit:
Ce  0.000  0.167  0.250
P  0.206  0.445  0.191
S  0.109  0.068  0.665
S  0.125  0.271  0.060
S  0.164  0.415  0.466